1.
{"formula": "Co2AuS", "functional": "PBE-GGA", "state": "relaxed", "lattice": [[-3.204, 3.204, 2.711], [3.204, -3.204, 2.711], [3.204, 3.204, -2.711]], "species": ["Co", "Co", "Co", "Co", "Au", "Au", "S", "S"], "frac_coords": [[0.053, 0.125, 0.428], [0.375, 0.947, 0.072], [0.697, 0.625, 0.572], [0.875, 0.303, 0.928], [0.250, 0.750, 0.500], [0.500, 0.500, 0.000], [0.000, 0.000, 0.000], [0.750, 0.250, 0.500]], "dft_energy_ev_per_cell": -41.67}

=====

2.
{"formula": "NaTc2Te2", "functional": "PBE-GGA", "state": "relaxed", "lattice": [[-2.100, 2.100, 6.947], [2.100, -2.100, 6.947], [2.100, 2.100, -6.947]], "species": ["Na", "Tc", "Tc", "Te", "Te"], "frac_coords": [[0.000, 0.000, 0.000], [0.250, 0.750, 0.500], [0.750, 0.250, 0.500], [0.365, 0.365, 0.000], [0.635, 0.635, 0.000]], "dft_energy_ev_per_cell": -28.46}

=====

> Number 2 is which compound?

NaTc2Te2